1.
Below is an optimized crystal structure of CdHgTeO, with properties calculated at the PBE level.

Computed properties:
theoretical density	7.94	Mg/m³
excess energy over the best structure of this formula in the dataset	0.000	eV per formula unit
energy	-44.321	eV/cell

a b c (Å): 6.832 8.471 6.597
angles (deg): 90.00 90.00 90.00
Space group Pca2_1 (No. 29)
Unique sites:
Cd 0.139 0.065 0.000 (multiplicity 4)
Hg 0.048 0.662 0.130 (multiplicity 4)
Te 0.038 0.661 0.693 (multiplicity 4)
O 0.081 0.085 0.670 (multiplicity 4)


2.
Below is an optimized crystal structure of CdHgTeO, with properties calculated at the PBE level.

Computed properties:
theoretical density	8.31	Mg/m³
excess energy over the best structure of this formula in the dataset	0.524	eV per formula unit
energy	-21.113	eV/cell

a b c (Å): 3.9577 3.9577 13.4446
angles (deg): 90.00 90.00 120.00
Space group P6_3mc (No. 186)
Unique sites:
Cd 0.3333 0.6667 0.0000 (multiplicity 2)
Hg 0.0000 0.0000 0.2101 (multiplicity 2)
Te 0.3333 0.6667 0.3406 (multiplicity 2)
O 0.0000 0.0000 0.0471 (multiplicity 2)


3.
Below is an optimized crystal structure of CdHgTeO, with properties calculated at the PBE level.

Computed properties:
theoretical density	8.35	Mg/m³
excess energy over the best structure of this formula in the dataset	1.076	eV per formula unit
energy	-20.008	eV/cell

a b c (Å): 4.343 4.343 9.627
angles (deg): 90.00 90.00 90.00
Space group P4/nmm (No. 129, origin choice 2)
Unique sites:
Cd 0.250 0.250 0.247 (multiplicity 2)
Hg 0.250 0.750 0.500 (multiplicity 2)
Te 0.250 0.250 0.824 (multiplicity 2)
O 0.250 0.250 0.018 (multiplicity 2)